Entry 1:
## HfCuNiAs (PBE-GGA)

Data for a relaxed HfCuNiAs crystal.

```
HfCuNiAs
1.0
0.000 3.114 3.114
3.114 0.000 3.114
3.114 3.114 0.000
Hf Cu Ni As
1 1 1 1
Direct
0.000 0.000 0.000
0.500 0.500 0.500
0.750 0.750 0.750
0.250 0.250 0.250
```

Properties
Space group ... No. 216



Entry 2:
## Pr2Dy3Co2B6 (PBE-GGA)

Data for a relaxed Pr2Dy3Co2B6 crystal.

```
Pr2Dy3Co2B6
1.0
2.712 1.566 7.996
-2.712 1.566 7.996
0.000 -3.131 7.996
Pr Dy Co B
2 3 2 6
Direct
0.087 0.087 0.087
0.913 0.913 0.913
0.252 0.252 0.252
0.500 0.500 0.500
0.748 0.748 0.748
0.379 0.379 0.379
0.621 0.621 0.621
0.000 0.333 0.667
0.000 0.667 0.333
0.333 0.000 0.667
0.333 0.667 0.000
0.667 0.000 0.333
0.667 0.333 0.000
```

Properties
Space group ... No. 166



Number 1: total energy -24.8 eV/cell. Number 2: total energy -83.7 eV/cell.